(1)
# K2TaPtS

An optimized crystal structure of K2TaPtS (GGA-PBE, Alexandria via LeMat-Bulk).

Properties
M_tot	3.7	μB per formula unit
formation energy without anion corrections	0.868	eV per atom

Unit cell a=6.265 b=4.338 c=6.265 alpha=90.00 beta=90.00 gamma=90.00
Each line ends with the local moment (μB).
Fractional coordinates of all 5 atoms:
Pt: 0.000 0.500 0.000  -0.02
K: 0.500 0.000 0.000  0.02
K: 0.000 0.000 0.500  0.02
Ta: 0.500 0.500 0.500  2.25
S: 0.000 0.000 0.000  -0.01

---

(2)
# BaSc2Se

An optimized crystal structure of BaSc2Se (GGA-PBE, Alexandria via LeMat-Bulk).

Properties
M_tot	0.0	μB per formula unit
formation energy without anion corrections	-0.547	eV per atom

Unit cell a=6.208 b=6.208 c=6.430 alpha=60.64 beta=60.64 gamma=33.74
Fractional coordinates of all 4 atoms:
Ba: 0.191 0.191 0.245
Sc: 0.034 0.034 0.930
Sc: 0.816 0.816 0.617
Se: 0.459 0.459 0.709

---

(3)
# CsK3Rb

An optimized crystal structure of CsK3Rb (GGA-PBE, Alexandria via LeMat-Bulk).

Properties
relative energy among the computed polymorphs	0.000	eV per atom
M_tot	0.0	μB per formula unit

Unit cell a=7.815 b=7.817 c=14.192 alpha=90.12 beta=105.98 gamma=90.00
Fractional coordinates of all 10 atoms:
K: 0.153 0.746 0.306
K: 0.847 0.254 0.694
K: 0.056 0.248 0.112
K: 0.654 0.252 0.309
K: 0.944 0.752 0.888
K: 0.346 0.748 0.691
Rb: 0.753 0.753 0.506
Rb: 0.247 0.247 0.494
Cs: 0.554 0.751 0.108
Cs: 0.446 0.249 0.892

---

(4)
# In2OsW

An optimized crystal structure of In2OsW (GGA-PBE, Alexandria via LeMat-Bulk).

Properties
relative energy among the computed polymorphs	0.558	eV per atom
M_tot	0.0	μB per formula unit

Unit cell a=4.341 b=4.066 c=4.066 alpha=90.00 beta=90.00 gamma=90.00
Fractional coordinates of all 4 atoms:
Os: 0.500 0.500 0.000
In: 0.000 0.000 0.000
In: 0.000 0.500 0.500
W: 0.500 0.000 0.500

---

(5)
# Nd4Pu3ThSe8

An optimized crystal structure of Nd4Pu3ThSe8 (GGA-PBE, Alexandria via LeMat-Bulk).

Properties
M_tot	17.2	μB per formula unit
formation energy without anion corrections	-1.698	eV per atom

Unit cell a=8.367 b=8.409 c=8.367 alpha=119.84 beta=120.00 gamma=90.00
Each line ends with the local moment (μB).
Fractional coordinates of all 16 atoms:
Se: 0.745 0.744 0.995  -0.03
Se: 0.750 0.256 0.005  -0.03
Se: 0.250 0.744 0.995  -0.03
Se: 0.747 0.742 0.494  -0.05
Se: 0.255 0.256 0.005  -0.03
Se: 0.253 0.258 0.506  -0.05
Se: 0.750 0.256 0.501  -0.03
Se: 0.250 0.744 0.499  -0.03
Th: 0.000 0.500 0.000  0.09
Pu: 0.500 0.500 0.000  5.44
Pu: 0.500 0.500 0.500  5.44
Pu: 0.000 0.500 0.500  5.44
Nd: 0.500 0.000 0.500  -0.01
Nd: 0.000 0.000 0.500  -0.01
Nd: 0.500 0.000 0.000  0.03
Nd: 0.000 0.000 0.000  -0.01

---

(6)
# KRe2HgC

An optimized crystal structure of KRe2HgC (GGA-PBE, Alexandria via LeMat-Bulk).

Properties
electronic total energy	-3.691	eV/atom
M_tot	5.1	μB per formula unit

Unit cell a=5.225 b=6.256 c=5.225 alpha=90.00 beta=90.00 gamma=90.00
Each line ends with the local moment (μB).
Fractional coordinates of all 5 atoms:
Re: 0.500 0.000 0.000  2.79
Re: 0.000 0.000 0.500  3.38
Hg: 0.000 0.000 0.000  0.02
C: 0.500 0.500 0.500  -1.02
K: 0.000 0.500 0.000  -0.02

---

(7)
# GaNi3Br

An optimized crystal structure of GaNi3Br (GGA-PBE, Alexandria via LeMat-Bulk).

Properties
M_tot	0.0	μB per formula unit
formation energy without anion corrections	0.764	eV per atom

Unit cell a=4.453 b=4.453 c=4.453 alpha=90.00 beta=90.00 gamma=90.00
Fractional coordinates of all 5 atoms:
Br: 0.500 0.500 0.500
Ni: 0.000 0.000 0.500
Ni: 0.000 0.500 0.000
Ni: 0.500 0.000 0.000
Ga: 0.000 0.000 0.000

---

(8)
# ThScZn2

An optimized crystal structure of ThScZn2 (GGA-PBE, Alexandria via LeMat-Bulk).

Properties
relative energy among the computed polymorphs	0.000	eV per atom
M_tot	0.0	μB per formula unit

Unit cell a=3.438 b=3.438 c=7.310 alpha=90.00 beta=90.00 gamma=90.00
Fractional coordinates of all 4 atoms:
Zn: 0.000 0.000 0.210
Zn: 0.000 0.000 0.790
Sc: 0.500 0.500 0.000
Th: 0.500 0.500 0.500

---

(9)
# Y2ReBr

An optimized crystal structure of Y2ReBr (GGA-PBE, Alexandria via LeMat-Bulk).

Properties
relative energy among the computed polymorphs	0.177	eV per atom
M_tot	0.0	μB per formula unit
formation energy without anion corrections	-0.305	eV per atom

Unit cell a=3.598 b=3.598 c=8.932 alpha=78.37 beta=78.37 gamma=59.95
Fractional coordinates of all 4 atoms:
Br: 0.750 0.750 0.750
Y: 0.993 0.993 0.022
Y: 0.507 0.507 0.478
Re: 0.250 0.250 0.250

---

(10)
# Pu4Si3Pt

An optimized crystal structure of Pu4Si3Pt (GGA-PBE, Alexandria via LeMat-Bulk).

Properties
M_tot	10.6	μB per formula unit
formation energy without anion corrections	-0.244	eV per atom

Unit cell a=4.023 b=5.278 c=7.502 alpha=90.00 beta=90.00 gamma=90.00
Each line ends with the local moment (μB).
Fractional coordinates of all 8 atoms:
Si: 0.500 0.000 0.927  -0.04
Si: 0.000 0.000 0.753  -0.03
Si: 0.000 0.500 0.072  -0.02
Pu: 0.500 0.000 0.487  5.18
Pu: 0.000 0.000 0.182  5.21
Pu: 0.500 0.500 0.795  4.64
Pu: 0.000 0.500 0.532  -4.79
Pt: 0.500 0.500 0.252  -0.01

---

(11)
# HoScTlCd

An optimized crystal structure of HoScTlCd (GGA-PBE, Alexandria via LeMat-Bulk).

Properties
electronic total energy	-3.849	eV/atom
M_tot	0.5	μB per formula unit

Unit cell a=5.178 b=5.178 c=5.178 alpha=60.00 beta=60.00 gamma=60.00
Each line ends with the local moment (μB).
Fractional coordinates of all 4 atoms:
Cd: 0.750 0.750 0.750  0.01
Sc: 0.000 0.000 0.000  0.22
Tl: 0.250 0.250 0.250  0.00
Ho: 0.500 0.500 0.500  0.13

---

(12)
# InTe2S

An optimized crystal structure of InTe2S (GGA-PBE, Alexandria via LeMat-Bulk).

Properties
M_tot	0.0	μB per formula unit
formation energy without anion corrections	0.154	eV per atom

Unit cell a=5.775 b=5.775 c=9.155 alpha=71.62 beta=71.62 gamma=90.00
Fractional coordinates of all 8 atoms:
S: 0.500 0.500 0.000
S: 0.250 0.750 0.500
Te: 0.567 0.125 0.250
Te: 0.375 0.433 0.750
Te: 0.875 0.817 0.750
Te: 0.183 0.625 0.250
In: 0.000 0.000 0.000
In: 0.750 0.250 0.500

---

(13)
# YCo2S

An optimized crystal structure of YCo2S (GGA-PBE, Alexandria via LeMat-Bulk).

Properties
M_tot	0.5	μB per formula unit
formation energy without anion corrections	-0.422	eV per atom

Unit cell a=4.397 b=4.397 c=7.888 alpha=73.82 beta=73.82 gamma=90.00
Each line ends with the local moment (μB).
Fractional coordinates of all 8 atoms:
Co: 0.326 0.625 0.250  0.36
Co: 0.875 0.674 0.750  0.28
Co: 0.375 0.576 0.750  0.25
Co: 0.424 0.125 0.250  0.37
Y: 0.750 0.250 0.500  -0.06
Y: 0.000 0.000 0.000  -0.06
S: 0.250 0.750 0.500  0.00
S: 0.500 0.500 0.000  0.00

---

(14)
# Te4PdCl

An optimized crystal structure of Te4PdCl (GGA-PBE, Alexandria via LeMat-Bulk).

Properties
relative energy among the computed polymorphs	0.055	eV per atom
M_tot	0.0	μB per formula unit
formation energy without anion corrections	-0.098	eV per atom

Unit cell a=5.701 b=6.969 c=9.848 alpha=110.72 beta=85.90 gamma=90.00
Fractional coordinates of all 12 atoms:
Te: 0.725 0.291 0.582
Te: 0.593 0.871 0.237
Te: 0.275 0.709 0.418
Te: 0.593 0.366 0.237
Te: 0.000 0.263 0.000
Te: 0.000 0.737 0.000
Te: 0.407 0.129 0.763
Te: 0.407 0.634 0.763
Cl: 0.100 0.200 0.399
Cl: 0.900 0.800 0.601
Pd: 0.310 0.557 0.113
Pd: 0.690 0.443 0.887

---

(15)
# LiPr2Zr

An optimized crystal structure of LiPr2Zr (GGA-PBE, Alexandria via LeMat-Bulk).

Properties
relative energy among the computed polymorphs	0.068	eV per atom
M_tot	0.0	μB per formula unit

Unit cell a=3.517 b=5.688 c=5.688 alpha=90.00 beta=90.00 gamma=90.00
Fractional coordinates of all 4 atoms:
Li: 0.500 0.000 0.000
Pr: 0.000 0.500 0.000
Pr: 0.000 0.000 0.500
Zr: 0.500 0.500 0.500

---

(16)
# CsNdGeI6

An optimized crystal structure of CsNdGeI6 (GGA-PBE, Alexandria via LeMat-Bulk).

Properties
M_tot	0.0	μB per formula unit
formation energy without anion corrections	-1.090	eV per atom

Unit cell a=8.004 b=8.004 c=8.609 alpha=90.00 beta=90.00 gamma=60.00
Fractional coordinates of all 9 atoms:
Cs: 0.000 0.000 0.000
I: 0.991 0.380 0.293
I: 0.630 0.380 0.707
I: 0.630 0.990 0.293
I: 0.990 0.630 0.707
I: 0.380 0.630 0.293
I: 0.380 0.991 0.707
Nd: 0.333 0.333 0.500
Ge: 0.667 0.667 0.500

---

(17)
# AlCoTc

An optimized crystal structure of AlCoTc (GGA-PBE, Alexandria via LeMat-Bulk).

Properties
relative energy among the computed polymorphs	0.000	eV per atom
M_tot	1.1	μB per formula unit

Unit cell a=5.323 b=5.323 c=5.323 alpha=149.51 beta=149.50 gamma=43.67
Each line ends with the local moment (μB).
Fractional coordinates of all 3 atoms:
Al: 0.990 0.990 0.000  -0.01
Tc: 0.675 0.675 0.000  0.25
Co: 0.336 0.336 0.000  0.83

---

(18)
# Yb2BiAu

An optimized crystal structure of Yb2BiAu (GGA-PBE, Alexandria via LeMat-Bulk).

Properties
electronic total energy	-3.449	eV/atom
M_tot	0.0	μB per formula unit

Unit cell a=5.337 b=5.335 c=5.335 alpha=60.01 beta=60.01 gamma=60.01
Fractional coordinates of all 4 atoms:
Au: 0.249 0.250 0.250
Yb: 0.500 0.500 0.500
Yb: 0.000 0.000 0.000
Bi: 0.750 0.750 0.750

---

(19)
# LaHfSe3

An optimized crystal structure of LaHfSe3 (GGA-PBE, Alexandria via LeMat-Bulk).

Properties
relative energy among the computed polymorphs	0.070	eV per atom
M_tot	0.0	μB per formula unit
formation energy without anion corrections	-1.542	eV per atom

Unit cell a=5.332 b=5.223 c=9.724 alpha=90.00 beta=98.86 gamma=90.00
Fractional coordinates of all 10 atoms:
Se: 0.494 0.750 0.651
Se: 0.953 0.750 0.372
Se: 0.731 0.250 0.905
Se: 0.506 0.250 0.349
Se: 0.269 0.750 0.095
Se: 0.047 0.250 0.628
Hf: 0.538 0.250 0.631
Hf: 0.462 0.750 0.369
La: 0.973 0.250 0.193
La: 0.027 0.750 0.807

---

(20)
# Mg2TcAg

An optimized crystal structure of Mg2TcAg (GGA-PBE, Alexandria via LeMat-Bulk).

Properties
relative energy among the computed polymorphs	0.179	eV per atom
M_tot	0.0	μB per formula unit

Unit cell a=5.187 b=5.187 c=5.187 alpha=135.01 beta=135.01 gamma=65.51
Fractional coordinates of all 4 atoms:
Mg: 0.000 0.000 0.000
Mg: 0.250 0.750 0.500
Ag: 0.750 0.250 0.500
Tc: 0.500 0.500 0.000

---

(21)
# LiMg6Pd

An optimized crystal structure of LiMg6Pd (GGA-PBE, Alexandria via LeMat-Bulk).

Properties
relative energy among the computed polymorphs	0.000	eV per atom
M_tot	0.0	μB per formula unit

Unit cell a=4.702 b=4.702 c=7.874 alpha=72.63 beta=72.63 gamma=90.00
Fractional coordinates of all 8 atoms:
Pd: 0.500 0.500 0.000
Mg: 0.393 0.893 0.215
Mg: 0.747 0.747 0.507
Mg: 0.607 0.107 0.785
Mg: 0.253 0.253 0.493
Mg: 0.893 0.393 0.215
Mg: 0.107 0.607 0.785
Li: 0.000 0.000 0.000

---

(22)
# Ti2Nb2N3

An optimized crystal structure of Ti2Nb2N3 (GGA-PBE, Alexandria via LeMat-Bulk).

Properties
M_tot	0.0	μB per formula unit
formation energy without anion corrections	-1.182	eV per atom

Unit cell a=5.226 b=5.994 c=5.927 alpha=61.21 beta=90.00 gamma=90.00
Fractional coordinates of all 14 atoms:
N: 0.004 0.743 0.735
N: 0.500 0.500 0.000
N: 0.996 0.257 0.265
N: 0.496 0.243 0.735
N: 0.000 0.000 0.000
N: 0.504 0.757 0.265
Nb: 0.330 0.132 0.121
Nb: 0.830 0.368 0.879
Nb: 0.170 0.632 0.121
Nb: 0.670 0.868 0.879
Ti: 0.159 0.117 0.628
Ti: 0.341 0.617 0.628
Ti: 0.659 0.383 0.372
Ti: 0.841 0.883 0.372

---

(23)
# NpAl6Au12

An optimized crystal structure of NpAl6Au12 (GGA-PBE, Alexandria via LeMat-Bulk).

Properties
electronic total energy	-4.177	eV/atom
M_tot	4.4	μB per formula unit

Unit cell a=7.501 b=7.501 c=7.501 alpha=105.91 beta=105.91 gamma=105.91
Each line ends with the local moment (μB).
Fractional coordinates of all 19 atoms:
Au: 0.381 0.131 0.381  0.01
Au: 0.869 0.619 0.619  0.01
Au: 0.119 0.881 0.500  0.00
Au: 0.381 0.381 0.131  0.01
Au: 0.119 0.500 0.881  0.00
Au: 0.131 0.381 0.381  0.01
Au: 0.619 0.619 0.869  0.01
Au: 0.500 0.119 0.881  0.00
Au: 0.881 0.119 0.500  0.00
Au: 0.881 0.500 0.119  0.00
Au: 0.500 0.881 0.119  0.00
Au: 0.619 0.869 0.619  0.01
Al: 0.280 0.692 0.280  0.00
Al: 0.280 0.280 0.692  0.00
Al: 0.308 0.720 0.720  0.00
Al: 0.692 0.280 0.280  0.00
Al: 0.720 0.720 0.308  0.00
Al: 0.720 0.308 0.720  0.00
Np: 0.000 0.000 0.000  4.13

---

(24)
# ZrGaCu

An optimized crystal structure of ZrGaCu (GGA-PBE, Alexandria via LeMat-Bulk).

Properties
electronic total energy	-5.506	eV/atom
M_tot	0.0	μB per formula unit

Unit cell a=3.047 b=3.047 c=5.764 alpha=105.33 beta=105.33 gamma=90.00
Fractional coordinates of all 3 atoms:
Cu: 0.300 0.300 0.600
Zr: 0.618 0.618 0.235
Ga: 0.932 0.932 0.865

---

(25)
# LiNp2Tl3S6

An optimized crystal structure of LiNp2Tl3S6 (GGA-PBE, Alexandria via LeMat-Bulk).

Properties
M_tot	6.0	μB per formula unit
formation energy without anion corrections	-0.985	eV per atom

Unit cell a=6.911 b=6.911 c=7.799 alpha=98.34 beta=98.34 gamma=120.10
Each line ends with the local moment (μB).
Fractional coordinates of all 12 atoms:
S: 0.415 0.065 0.197  -0.10
S: 0.585 0.935 0.803  -0.10
S: 0.282 0.282 0.811  -0.10
S: 0.718 0.718 0.189  -0.10
S: 0.065 0.415 0.197  -0.10
S: 0.935 0.585 0.803  -0.10
Np: 0.667 0.333 0.000  3.26
Np: 0.333 0.667 0.000  3.26
Tl: 0.839 0.161 0.500  -0.01
Tl: 0.500 0.500 0.500  -0.01
Tl: 0.161 0.839 0.500  -0.01
Li: 0.000 0.000 0.000  0.00